#A
Ba2CaCl (GGA-PBE, optimized geometry); symmetry = P4/mmm (123); density = 3.36 g/cm³
1.0
3.980 0.000 0.000
0.000 3.980 0.000
0.000 0.000 10.924
Ba Ca Cl
2 1 1
Cartesian
0.000 0.000 2.251 Ba
0.000 0.000 8.673 Ba
1.990 1.990 5.462 Ca
1.990 1.990 0.000 Cl

=====

#B
Ba2CaCl (GGA-PBE, optimized geometry); symmetry = Immm (71); density = 2.85 g/cm³
1.0
-2.143 3.825 6.217
2.143 -3.825 6.217
2.143 3.825 -6.217
Ba Ca Cl
2 1 1
Cartesian
0.000 0.000 2.356 Ba
0.000 0.000 10.077 Ba
0.000 3.825 0.000 Ca
2.143 0.000 0.000 Cl

=====

Which one sits at the top of the stability order? #A does.

=====

#A
Ba2CaCl (GGA-PBE, optimized geometry); symmetry = F-43m (216); density = 3.08 g/cm³
1.0
0.000 4.555 4.555
4.555 0.000 4.555
4.555 4.555 0.000
Ba Ca Cl
2 1 1
Cartesian
0.000 0.000 0.000 Ba
2.278 2.278 2.278 Ba
6.833 6.833 6.833 Ca
4.555 4.555 4.555 Cl

=====

#B
Ba2CaCl (GGA-PBE, optimized geometry); symmetry = P4/mmm (123); density = 2.84 g/cm³
1.0
6.535 0.000 0.000
0.000 6.535 0.000
0.000 0.000 4.799
Ba Ca Cl
2 1 1
Cartesian
0.000 3.267 0.000 Ba
3.267 0.000 0.000 Ba
0.000 0.000 2.400 Ca
3.267 3.267 0.000 Cl

=====

Which one sits at the top of the stability order? #B does.

=====

#A
Ba2CaCl (GGA-PBE, optimized geometry); symmetry = C2/m (12); density = 3.22 g/cm³
1.0
3.731 -2.150 0.000
3.731 2.150 0.000
-2.489 0.000 11.245
Ba Ca Cl
2 1 1
Cartesian
1.237 0.000 2.258 Ba
3.737 0.000 8.987 Ba
-1.244 0.000 5.622 Ca
3.731 0.000 0.000 Cl

=====

#B
Ba2CaCl (GGA-PBE, optimized geometry); symmetry = P2/m (10); density = 2.94 g/cm³
1.0
4.315 0.000 0.000
0.000 4.156 0.000
-0.049 0.000 11.048
Ba Ca Cl
2 1 1
Cartesian
0.002 0.000 3.075 Ba
4.263 0.000 7.973 Ba
2.157 2.078 0.000 Ca
-0.025 2.078 5.524 Cl

=====

#C
Ba2CaCl (GGA-PBE, optimized geometry); symmetry = Fm-3m (225); density = 2.99 g/cm³
1.0
0.000 4.601 4.601
4.601 0.000 4.601
4.601 4.601 0.000
Ba Ca Cl
2 1 1
Cartesian
2.300 2.300 2.300 Ba
6.901 6.901 6.901 Ba
0.000 0.000 0.000 Ca
4.601 4.601 4.601 Cl

=====

Which one sits at the top of the stability order? #A does.

=====

#A
Ba2CaCl (GGA-PBE, optimized geometry); symmetry = Cmm2 (35); density = 3.25 g/cm³
1.0
2.129 -3.580 0.000
2.129 3.580 0.000
0.000 0.000 11.747
Ba Ca Cl
2 1 1
Cartesian
0.000 0.000 0.000 Ba
2.129 0.000 3.738 Ba
0.000 0.000 7.132 Ca
2.129 0.000 9.147 Cl

=====

#B
Ba2CaCl (GGA-PBE, optimized geometry); symmetry = P4mm (99); density = 2.85 g/cm³
1.0
4.386 0.000 0.000
0.000 4.386 0.000
0.000 0.000 10.591
Ba Ca Cl
2 1 1
Cartesian
0.000 0.000 0.000 Ba
2.193 2.193 3.497 Ba
0.000 0.000 6.340 Ca
2.193 2.193 0.122 Cl

=====

#C
Ba2CaCl (GGA-PBE, optimized geometry); symmetry = I-42d (122); density = 2.80 g/cm³
1.0
-4.885 4.885 4.355
4.885 -4.885 4.355
4.885 4.885 -4.355
Ba Ca Cl
4 2 2
Cartesian
7.328 1.546 -1.089 Ba
1.546 2.443 1.089 Ba
-2.443 3.340 3.267 Ba
3.340 2.443 5.444 Ba
4.885 0.000 2.178 Ca
0.000 0.000 4.355 Ca
0.000 0.000 0.000 Cl
0.000 4.885 2.178 Cl

=====

Which one sits at the top of the stability order? #A does.

=====

#A
BaCa3Cl (GGA-PBE, optimized geometry); symmetry = Pm-3m (221); density = 1.25 g/cm³
1.0
7.306 0.000 0.000
0.000 7.306 0.000
0.000 0.000 7.306
Ba Ca Cl
1 3 1
Cartesian
0.000 0.000 0.000 Ba
0.000 0.000 3.653 Ca
0.000 3.653 0.000 Ca
3.653 0.000 0.000 Ca
3.653 3.653 3.653 Cl

=====

#B
BaCa3Cl (GGA-PBE, optimized geometry); symmetry = Pm-3m (221); density = 2.29 g/cm³
1.0
5.967 0.000 0.000
0.000 5.967 0.000
0.000 0.000 5.967
Ba Ca Cl
1 3 1
Cartesian
0.000 0.000 0.000 Ba
0.000 2.983 2.983 Ca
2.983 0.000 2.983 Ca
2.983 2.983 0.000 Ca
2.983 2.983 2.983 Cl

=====

Which one sits at the top of the stability order? #B does.

=====

#A
Ba2NaCaCl (GGA-PBE, optimized geometry); symmetry = P4/mmm (123); density = 2.68 g/cm³
1.0
6.405 0.000 0.000
0.000 6.405 0.000
0.000 0.000 5.630
Ba Na Ca Cl
2 1 1 1
Cartesian
0.000 3.202 0.000 Ba
3.202 0.000 0.000 Ba
0.000 0.000 2.815 Na
3.202 3.202 2.815 Ca
0.000 0.000 0.000 Cl

=====

#B
Ba2NaCaCl (GGA-PBE, optimized geometry); symmetry = P4/mmm (123); density = 2.67 g/cm³
1.0
6.558 0.000 0.000
0.000 6.558 0.000
0.000 0.000 5.398
Ba Na Ca Cl
2 1 1 1
Cartesian
0.000 3.279 0.000 Ba
3.279 0.000 0.000 Ba
0.000 0.000 2.699 Na
3.279 3.279 2.699 Ca
3.279 3.279 0.000 Cl

=====

Which one sits at the top of the stability order? #A does.

=====

#A
BaCaPCl2 (GGA-PBE, optimized geometry); symmetry = P4/mmm (123); density = 2.99 g/cm³
1.0
5.214 0.000 0.000
0.000 5.214 0.000
0.000 0.000 5.705
Ba Ca P Cl
1 1 1 2
Cartesian
0.000 0.000 0.000 Ba
2.607 2.607 2.853 Ca
2.607 2.607 0.000 P
0.000 2.607 2.853 Cl
2.607 0.000 2.853 Cl

=====

#B
BaCaPCl2 (GGA-PBE, optimized geometry); symmetry = P4/mmm (123); density = 2.44 g/cm³
1.0
5.703 0.000 0.000
0.000 5.703 0.000
0.000 0.000 5.846
Ba Ca P Cl
1 1 1 2
Cartesian
0.000 0.000 0.000 Ba
2.851 2.851 2.923 Ca
0.000 0.000 2.923 P
0.000 2.851 0.000 Cl
2.851 0.000 0.000 Cl

=====

Which one sits at the top of the stability order? #A does.